No. 1
Computed, not measured: a relaxed structure of Sm2GdY at the PBE level of DFT.

abc: 5.085 5.098 5.098
angles: 90.00 90.00 90.00
Fractional coordinates of all 4 atoms:
Y 0.500 0.000 0.000
Gd 0.500 0.500 0.500
Sm 0.000 0.000 0.500
Sm 0.000 0.500 0.000

Formation enthalpy at 0 K   1 kJ per mole of atoms
ΔE to the lowest computed polymorph   0.000 eV/atom
Crystal system   tetragonal

No. 2
Computed, not measured: a relaxed structure of TeMoAs at the PBE level of DFT.

abc: 4.742 4.742 3.071
angles: 90.00 90.00 120.00
Fractional coordinates of all 3 atoms:
Mo 0.667 0.333 0.309
Te 0.333 0.667 0.527
As 0.000 0.000 0.164

Raw formation energy   510.1 meV per atom
ΔE to the lowest computed polymorph   0.536 eV/atom
Crystal system   trigonal

No. 3
Computed, not measured: a relaxed structure of CeBI at the PBE level of DFT.

abc: 4.144 6.498 8.328
angles: 66.78 68.64 90.53
Fractional coordinates of all 6 atoms:
B 0.095 0.441 0.068
B 0.905 0.559 0.932
Ce 0.439 0.369 0.272
Ce 0.561 0.631 0.728
I 0.652 0.170 0.655
I 0.348 0.830 0.345

Raw formation energy   -332.5 meV per atom
Crystal system   triclinic

No. 4
Computed, not measured: a relaxed structure of Tb5Dy4Tm4 at the PBE level of DFT.

abc: 4.981 9.326 9.326
angles: 85.91 74.51 74.51
Fractional coordinates of all 13 atoms:
Tb 0.694 0.845 0.768
Tb 0.306 0.155 0.232
Tb 0.000 0.000 0.000
Tb 0.538 0.768 0.155
Tb 0.462 0.232 0.845
Dy 0.769 0.386 0.077
Dy 0.231 0.614 0.923
Dy 0.846 0.923 0.386
Dy 0.154 0.077 0.614
Tm 0.924 0.462 0.691
Tm 0.614 0.309 0.462
Tm 0.076 0.538 0.309
Tm 0.386 0.691 0.538

Formation enthalpy at 0 K   2 kJ per mole of atoms
Crystal system   tetragonal

No. 5
Computed, not measured: a relaxed structure of SrLiTe3 at the PBE level of DFT.

abc: 6.165 6.165 6.165
angles: 90.00 90.00 90.00
Fractional coordinates of all 5 atoms:
Sr 0.000 0.000 0.000
Te 0.000 0.500 0.000
Te 0.000 0.000 0.500
Te 0.500 0.000 0.000
Li 0.500 0.500 0.500

Raw formation energy   -117.3 meV per atom
ΔE to the lowest computed polymorph   0.483 eV/atom
Crystal system   cubic

No. 6
Computed, not measured: a relaxed structure of GaC at the PBE level of DFT.

abc: 3.226 3.228 6.170
angles: 74.76 74.83 59.91
Fractional coordinates of all 4 atoms:
C 0.962 0.961 0.615
C 0.038 0.039 0.385
Ga 0.572 0.570 0.788
Ga 0.428 0.430 0.212

Formation enthalpy at 0 K   53 kJ per mole of atoms
ΔE to the lowest computed polymorph   0.306 eV/atom
Crystal system   monoclinic

No. 7
Computed, not measured: a relaxed structure of CaYSc at the PBE level of DFT.

abc: 7.853 7.853 7.853
angles: 153.51 153.51 37.82
Fractional coordinates of all 3 atoms:
Y 0.682 0.682 0.000
Sc 0.324 0.324 0.000
Ca 0.994 0.994 0.000

Formation enthalpy at 0 K   11 kJ per mole of atoms
ΔE to the lowest computed polymorph   0.043 eV/atom
Crystal system   tetragonal

No. 8
Computed, not measured: a relaxed structure of Pr4H5N at the PBE level of DFT.

abc: 3.781 6.184 9.409
angles: 129.73 101.59 90.00
Fractional coordinates of all 10 atoms:
Pr 0.335 0.466 0.670
Pr 0.061 0.874 0.123
Pr 0.665 0.534 0.330
Pr 0.939 0.126 0.877
H 0.901 0.432 0.802
H 0.812 0.639 0.624
H 0.188 0.361 0.376
H 0.500 0.500 0.000
H 0.099 0.568 0.198
N 0.500 0.000 0.000

VASP energy   -5.099 eV/atom
Crystal system   monoclinic